[1]
Entry from Alexandria: crystalline BaTl2I2 at its relaxed geometry (PBEsol).

Calculated values
- D(E_F): 2.82 states/eV per cell
- Magnetic moment: 0.00 μB/cell
- Formation energy from raw total energies: -602.4 meV/atom
- Space group: I4/mmm

a b c (Å): 6.661 6.661 6.661
angles (deg): 122.68 122.68 85.41
Atoms (fractional coordinates):
Ba  0.000  0.000  0.000
Tl  0.347  0.347  0.000
Tl  0.653  0.653  0.000
I  0.250  0.750  0.500
I  0.750  0.250  0.500

[2]
Entry from Alexandria: crystalline BaTl3I at its relaxed geometry (PBEsol).

Calculated values
- D(E_F): 3.83 states/eV per cell
- Magnetic moment: 0.00 μB/cell
- Formation energy from raw total energies: 54.6 meV/atom
- Space group: Pm-3m

a b c (Å): 6.139 6.139 6.139
angles (deg): 90.00 90.00 90.00
Atoms (fractional coordinates):
Ba  0.000  0.000  0.000
Tl  0.000  0.500  0.500
Tl  0.500  0.000  0.500
Tl  0.500  0.500  0.000
I  0.500  0.500  0.500

[3]
Entry from Alexandria: crystalline BaUI6 at its relaxed geometry (PBEsol).

Calculated values
- D(E_F): 22.93 states/eV per cell
- Magnetic moment: 4.00 μB/cell
- Formation energy from raw total energies: -1061.3 meV/atom
- Space group: Cc

a b c (Å): 8.012 8.012 13.601
angles (deg): 96.60 96.60 117.99
Atoms (fractional coordinates):
Ba  0.079  0.921  0.500
Ba  0.921  0.079  0.000
U  0.444  0.607  0.564
U  0.607  0.444  0.064
I  0.078  0.312  0.427
I  0.203  0.707  0.681
I  0.308  0.421  0.180
I  0.312  0.078  0.927
I  0.421  0.308  0.680
I  0.466  0.889  0.432
I  0.490  0.667  0.938
I  0.667  0.490  0.438
I  0.707  0.203  0.181
I  0.816  0.917  0.699
I  0.889  0.466  0.932
I  0.917  0.816  0.199

[4]
Entry from Alexandria: crystalline Ba3Y2I12 at its relaxed geometry (PBEsol).

Calculated values
- D(E_F): 0.00 states/eV per cell
- Magnetic moment: 0.00 μB/cell
- Formation energy from raw total energies: -1542.3 meV/atom
- Space group: P4/mbm

a b c (Å): 12.874 12.874 7.869
angles (deg): 90.00 90.00 90.00
Atoms (fractional coordinates):
Ba  0.000  0.000  0.000
Ba  0.185  0.315  0.500
Ba  0.315  0.815  0.500
Ba  0.500  0.500  0.000
Ba  0.685  0.185  0.500
Ba  0.815  0.685  0.500
Y  0.137  0.637  0.000
Y  0.363  0.137  0.000
Y  0.637  0.863  0.000
Y  0.863  0.363  0.000
I  0.000  0.500  0.243
I  0.000  0.500  0.757
I  0.059  0.789  0.268
I  0.059  0.789  0.732
I  0.192  0.308  0.000
I  0.211  0.059  0.268
I  0.211  0.059  0.732
I  0.289  0.559  0.268
I  0.289  0.559  0.732
I  0.308  0.808  0.000
I  0.441  0.289  0.268
I  0.441  0.289  0.732
I  0.500  0.000  0.243
I  0.500  0.000  0.757
I  0.559  0.711  0.268
I  0.559  0.711  0.732
I  0.692  0.192  0.000
I  0.711  0.441  0.268
I  0.711  0.441  0.732
I  0.789  0.941  0.268
I  0.789  0.941  0.732
I  0.808  0.692  0.000
I  0.941  0.211  0.268
I  0.941  0.211  0.732

[5]
Entry from Alexandria: crystalline BaYI5 at its relaxed geometry (PBEsol).

Calculated values
- D(E_F): 0.00 states/eV per cell
- Magnetic moment: 0.00 μB/cell
- Formation energy from raw total energies: -1472.2 meV/atom
- Space group: C2/c

a b c (Å): 7.940 7.940 11.743
angles (deg): 108.38 108.38 69.21
Atoms (fractional coordinates):
Ba  0.038  0.962  0.750
Ba  0.962  0.038  0.250
Y  0.500  0.500  0.000
Y  0.500  0.500  0.500
I  0.103  0.719  0.993
I  0.155  0.397  0.373
I  0.281  0.897  0.507
I  0.397  0.155  0.873
I  0.424  0.576  0.750
I  0.576  0.424  0.250
I  0.603  0.845  0.127
I  0.719  0.103  0.493
I  0.845  0.603  0.627
I  0.897  0.281  0.007

[6]
Entry from Alexandria: crystalline Ba2ZnI2 at its relaxed geometry (PBEsol).

Calculated values
- D(E_F): 4.10 states/eV per cell
- Magnetic moment: 1.56 μB/cell
- Formation energy from raw total energies: -734.1 meV/atom
- Space group: I4/mmm

a b c (Å): 6.978 6.978 6.978
angles (deg): 123.93 123.93 83.32
Atoms (fractional coordinates):
Ba  0.250  0.750  0.500
Ba  0.750  0.250  0.500
Zn  0.000  0.000  0.000
I  0.326  0.326  0.000
I  0.674  0.674  0.000